## KPt3S (PBE)

Data for an optimized crystal structure of KPt3S.

Values from the calculation:
ΔE to the lowest computed polymorph	2275	meV per atom
raw formation energy	2.39	eV/atom
ρ	8.827	Mg/m³
total moment	1.23	μB per cell

Cell: 4.9798 4.9798 4.9798 Å, 90.00 90.00 90.00°
Site moments in Bohr magnetons follow the coordinates.
Positions (direct):
Pt  0.0000  0.0000  0.5000  0.18
Pt  0.0000  0.5000  0.0000  0.27
Pt  0.5000  0.0000  0.0000  0.32
K  0.0000  0.0000  0.0000  0.00
S  0.5000  0.5000  0.5000  0.32

***

## KPt2S6 (PBE)

Data for an optimized crystal structure of KPt2S6.

Values from the calculation:
raw formation energy	-0.22	eV/atom
ρ	4.528	Mg/m³
total moment	0.00	μB per cell

Cell: 8.0125 9.7541 9.7541 Å, 29.98 39.30 39.30°
Positions (direct):
Pt  0.3950  0.6321  0.6321
Pt  0.6050  0.3679  0.3679
S  0.7252  0.5358  0.9422
S  0.7252  0.9422  0.5358
S  0.2748  0.0578  0.4642
S  0.5000  0.7658  0.2342
S  0.2748  0.4642  0.0578
S  0.5000  0.2342  0.7658
K  0.0000  0.0000  0.0000

***

## KPtS3 (PBE)

Data for an optimized crystal structure of KPtS3.

Values from the calculation:
ΔE to the lowest computed polymorph	0	meV per atom
raw formation energy	-0.39	eV/atom
ρ	4.371	Mg/m³
total moment	0.00	μB per cell

Cell: 6.2726 6.2726 8.2090 Å, 67.54 67.54 60.00°
Positions (direct):
S  0.5593  0.3161  0.1829
S  0.6839  0.0583  0.8171
S  0.4407  0.6839  0.8171
S  0.0583  0.4407  0.8171
S  0.3161  0.9417  0.1829
S  0.9417  0.5593  0.1829
Pt  0.6657  0.6657  0.0028
Pt  0.3343  0.3343  0.9972
K  0.1522  0.1522  0.5433
K  0.8478  0.8478  0.4567

***

## KPtS2 (PBE)

Data for an optimized crystal structure of KPtS2.

Values from the calculation:
raw formation energy	0.27	eV/atom
ρ	6.603	Mg/m³
total moment	0.00	μB per cell

Cell: 4.7340 4.7340 4.7340 Å, 60.00 60.00 60.00°
Positions (direct):
Pt  0.5000  0.5000  0.5000
S  0.7500  0.7500  0.7500
S  0.2500  0.2500  0.2500
K  0.0000  0.0000  0.0000

***

The highest total moment belongs to which entry? KPt3S